1.
ZnRh | GGA-PBE | relaxed

magnetization: 0.00 μB/f.u.
energy relative to the elements: -0.28 eV per atom
final energy: -4.5930 eV per atom
space-group type: R-3m (166)

a = 4.479 Å, b = 4.479 Å, c = 4.479 Å
α = 36.31°, β = 36.31°, γ = 36.31°
Fractional positions:
Zn1 0.000 0.000 0.000
Rh1 0.500 0.500 0.500

---

2.
Zn4Rh5 | GGA-PBE | relaxed

magnetization: 0.00 μB/f.u.
energy relative to the elements: -0.23 eV per atom
final energy: -4.8786 eV per atom
space-group type: P6_3/mcm (193)

a = 7.525 Å, b = 7.525 Å, c = 5.180 Å
α = 90.00°, β = 90.00°, γ = 120.00°
Fractional positions:
Zn1 0.000 0.000 0.000
Zn2 0.000 0.000 0.500
Zn3 0.000 0.360 0.250
Zn4 0.000 0.640 0.750
Zn5 0.360 0.000 0.250
Zn6 0.360 0.360 0.750
Zn7 0.640 0.000 0.750
Zn8 0.640 0.640 0.250
Rh1 0.000 0.306 0.750
Rh2 0.000 0.694 0.250
Rh3 0.306 0.000 0.750
Rh4 0.306 0.306 0.250
Rh5 0.333 0.667 0.000
Rh6 0.333 0.667 0.500
Rh7 0.667 0.333 0.000
Rh8 0.667 0.333 0.500
Rh9 0.694 0.000 0.250
Rh10 0.694 0.694 0.750

---

3.
Zn3Rh | GGA-PBE | relaxed

magnetization: 0.00 μB/f.u.
energy relative to the elements: -0.27 eV per atom
final energy: -3.0605 eV per atom
space-group type: Pmm2 (25)

a = 2.949 Å, b = 4.268 Å, c = 4.511 Å
α = 90.00°, β = 90.00°, γ = 90.00°
Fractional positions:
Zn1 0.000 0.000 0.000
Zn2 0.000 0.500 0.370
Zn3 0.500 0.500 0.859
Rh1 0.500 0.000 0.503